The following is a DFT calculation (PBE) of a relaxed Ac2Tb3Sm7 crystal.

```
12
Lattice="6.5068 0.0000 0.0000 0.0000 3.6469 0.0000 -0.0095 0.0000 17.8366" Properties=species:S:1:pos:R:3 pbc="T T T"
Ac 0.0583 0.0000 3.0915
Ac 6.4390 0.0000 14.7451
Tb -0.0048 0.0000 8.9183
Tb 3.2361 1.8235 14.9849
Tb 3.2612 1.8235 2.8518
Sm 1.1464 1.8235 6.0613
Sm 1.6966 0.0000 17.8108
Sm 2.1488 0.0000 11.8332
Sm 3.2486 1.8235 8.9183
Sm 4.3485 0.0000 6.0034
Sm 4.8007 0.0000 0.0258
Sm 5.3509 1.8235 11.7754
```

raw total energy = -4.50 eV/atom
calculated formation energy = 0.091 eV per atom
space group = No. 10
total magnetization = 0.00 μB per formula unit
volume = 35.3 A^3/atom
density of states at the Fermi level = 18.0 states/eV per cell


The following is a DFT calculation (PBE) of a relaxed Zn2InRe crystal.

```
4
Lattice="2.8059 -4.1051 0.0000 2.8059 4.1051 0.0000 0.0000 0.0000 2.8321" Properties=species:S:1:pos:R:3 pbc="T T T"
Zn 1.4030 2.0526 0.0000
Zn 1.4030 -2.0526 0.0000
In 0.0000 0.0000 1.4161
Re 2.8059 0.0000 1.4161
```

raw total energy = -4.05 eV/atom
calculated formation energy = 0.380 eV per atom
space group = No. 65
total magnetization = 0.00 μB per formula unit
volume = 16.3 A^3/atom
density of states at the Fermi level = 2.3 states/eV per cell


The following is a DFT calculation (PBE) of a relaxed Np2Hg2I7 crystal.

```
11
Lattice="-2.0285 7.6886 7.9303 2.0285 -7.6886 7.9303 2.0285 7.6886 -7.9303" Properties=species:S:1:pos:R:3 pbc="T T T"
Np 0.0000 3.0597 0.0000
Np 0.0000 12.3174 0.0000
Hg 2.0285 0.0000 4.5651
Hg 0.0000 0.0000 10.7644
I 0.0000 0.0000 0.8607
I 2.0285 5.4211 -0.6138
I 2.0285 3.1224 2.3646
I 0.0000 2.2675 7.3165
I 0.0000 5.7275 5.8516
I 0.0000 4.5662 10.2949
I 0.0000 9.6497 5.8516
```

raw total energy = -4.01 eV/atom
ΔE_f (raw) = -619.1 meV/atom
space group = No. 44
total magnetization = 6.99 μB per formula unit
volume = 45.0 A^3/atom
density of states at the Fermi level = 18.1 states/eV per cell


The following is a DFT calculation (PBE) of a relaxed ReRu2Se4 crystal.

```
7
Lattice="-2.5195 2.5195 5.9353 2.5195 -2.5195 5.9353 2.5195 2.5195 -5.9353" Properties=species:S:1:pos:R:3 pbc="T T T"
Re 0.0000 0.0000 0.0000
Ru 0.0000 0.0000 4.7485
Ru 0.0000 0.0000 7.1222
Se 2.5195 0.0000 0.0000
Se 0.0000 0.0000 2.4425
Se 0.0000 2.5195 0.0000
Se 0.0000 0.0000 9.4282
```

raw total energy = -5.74 eV/atom
ΔE_f (raw) = 683.5 meV/atom
space group = No. 139
total magnetization = 1.01 μB per formula unit
volume = 21.5 A^3/atom
density of states at the Fermi level = 8.4 states/eV per cell